Entry 1:
A plane-wave DFT calculation with GGA-PBE was carried out for a relaxed structure of Th3Pd2Rh3. Values from VASP.

Geometry as Quantum ESPRESSO input:
```
&SYSTEM
  ibrav = 0, nat = 16, ntyp = 3
/
ATOMIC_SPECIES
Th 232.04 Th.upf
Rh 102.91 Rh.upf
Pd 106.42 Pd.upf
CELL_PARAMETERS angstrom
-3.486 2.756 3.683
-5.625 0.836 -5.950
-0.110 -6.639 4.863
ATOMIC_POSITIONS crystal
Th 0.750 0.280 0.000
Rh 0.250 0.378 0.000
Th 0.250 0.720 0.000
Th 0.750 0.720 0.720
Rh 0.750 0.000 0.622
Pd 0.000 0.333 0.667
Pd 0.500 0.667 0.333
Th 0.250 0.280 0.280
Pd 0.000 0.667 0.333
Rh 0.750 0.622 0.000
Rh 0.750 0.378 0.378
Th 0.250 0.000 0.720
Th 0.750 0.000 0.280
Rh 0.250 0.000 0.378
Rh 0.250 0.622 0.622
Pd 0.500 0.333 0.667
```

Summary:
electronic total energy: -60.81 eV per formula unit
space-group type: P6_3/mcm
ΔE_f: -6.11 eV per formula unit
magnetization: 0.00 Bohr magnetons per cell



Entry 2:
A plane-wave DFT calculation with GGA-PBE was carried out for a relaxed structure of Th4Pd3Rh3. Values from VASP.

Geometry as Quantum ESPRESSO input:
```
&SYSTEM
  ibrav = 0, nat = 20, ntyp = 3
/
ATOMIC_SPECIES
Th 232.04 Th.upf
Pd 106.42 Pd.upf
Rh 102.91 Rh.upf
CELL_PARAMETERS angstrom
-6.848 1.717 -4.293
3.011 -7.304 -2.422
-1.804 -0.299 8.058
ATOMIC_POSITIONS crystal
Th 0.774 0.500 0.000
Th 0.500 0.274 0.500
Pd 0.375 0.125 0.750
Rh 0.250 0.375 0.625
Pd 0.250 0.875 0.125
Th 0.000 0.000 0.774
Th 0.500 0.774 0.500
Pd 0.875 0.250 0.625
Rh 0.875 0.625 0.750
Th 0.000 0.000 0.274
Pd 0.125 0.375 0.250
Th 0.226 0.726 0.726
Rh 0.625 0.875 0.250
Rh 0.375 0.250 0.125
Pd 0.625 0.750 0.875
Rh 0.750 0.125 0.875
Rh 0.125 0.750 0.375
Th 0.726 0.226 0.226
Pd 0.750 0.625 0.375
Th 0.274 0.500 0.000
```

Summary:
electronic total energy: -74.11 eV per formula unit
space-group type: I-43d
ΔE_f: -6.79 eV per formula unit
magnetization: 0.00 Bohr magnetons per cell



Entry 3:
A plane-wave DFT calculation with GGA-PBE was carried out for a relaxed structure of Th3PdRh5. Values from VASP.

Geometry as Quantum ESPRESSO input:
```
&SYSTEM
  ibrav = 0, nat = 18, ntyp = 3
/
ATOMIC_SPECIES
Th 232.04 Th.upf
Pd 106.42 Pd.upf
Rh 102.91 Rh.upf
CELL_PARAMETERS angstrom
-3.599 -3.076 3.466
-4.729 -1.891 -6.588
6.323 -4.973 2.151
ATOMIC_POSITIONS crystal
Th 0.750 0.000 0.653
Th 0.750 0.347 0.347
Pd 0.500 0.000 0.000
Rh 0.750 0.000 0.318
Rh 0.000 0.333 0.667
Rh 0.000 0.667 0.333
Rh 0.250 0.318 0.318
Rh 0.750 0.318 0.000
Th 0.250 0.347 0.000
Rh 0.250 0.000 0.682
Th 0.250 0.000 0.347
Rh 0.500 0.667 0.333
Rh 0.250 0.682 0.000
Rh 0.500 0.333 0.667
Pd 0.000 0.000 0.000
Th 0.250 0.653 0.653
Th 0.750 0.653 0.000
Rh 0.750 0.682 0.682
```

Summary:
electronic total energy: -71.68 eV per formula unit
space-group type: P6_3/mcm
ΔE_f: -7.47 eV per formula unit
magnetization: 0.00 Bohr magnetons per cell



Entry 4:
A plane-wave DFT calculation with GGA-PBE was carried out for a relaxed structure of ThTlPdRh. Values from VASP.

Geometry as Quantum ESPRESSO input:
```
&SYSTEM
  ibrav = 0, nat = 4, ntyp = 4
/
ATOMIC_SPECIES
Tl 204.38 Tl.upf
Pd 106.42 Pd.upf
Th 232.04 Th.upf
Rh 102.91 Rh.upf
CELL_PARAMETERS angstrom
-4.612 -1.057 1.362
-2.448 -3.650 -2.221
-0.952 -4.169 2.441
ATOMIC_POSITIONS crystal
Tl 0.000 0.000 0.000
Pd 0.750 0.750 0.750
Th 0.500 0.500 0.500
Rh 0.250 0.250 0.250
```

Summary:
electronic total energy: -24.46 eV per formula unit
space-group type: F-43m
ΔE_f: -2.13 eV per formula unit
magnetization: 0.00 Bohr magnetons per cell



Entry 5:
A plane-wave DFT calculation with GGA-PBE was carried out for a relaxed structure of TmThPdRh. Values from VASP.

Geometry as Quantum ESPRESSO input:
```
&SYSTEM
  ibrav = 0, nat = 4, ntyp = 4
/
ATOMIC_SPECIES
Rh 102.91 Rh.upf
Tm 168.93 Tm.upf
Pd 106.42 Pd.upf
Th 232.04 Th.upf
CELL_PARAMETERS angstrom
-3.357 1.405 -3.416
-2.136 -3.412 -2.951
-4.816 -1.162 0.608
ATOMIC_POSITIONS crystal
Rh 0.500 0.500 0.500
Tm 0.750 0.750 0.750
Pd 0.000 0.000 0.000
Th 0.250 0.250 0.250
```

Summary:
electronic total energy: -27.64 eV per formula unit
space-group type: F-43m
ΔE_f: -3.20 eV per formula unit
energy above the most stable polymorph in this dataset: 136 meV per atom
magnetization: 0.00 Bohr magnetons per cell



Entry 6:
A plane-wave DFT calculation with GGA-PBE was carried out for a relaxed structure of TmThPdRh. Values from VASP.

Geometry as Quantum ESPRESSO input:
```
&SYSTEM
  ibrav = 0, nat = 4, ntyp = 4
/
ATOMIC_SPECIES
Tm 168.93 Tm.upf
Th 232.04 Th.upf
Rh 102.91 Rh.upf
Pd 106.42 Pd.upf
CELL_PARAMETERS angstrom
3.811 0.000 0.000
0.000 4.247 0.000
-1.906 0.000 5.571
ATOMIC_POSITIONS crystal
Tm 0.141 0.000 0.283
Th 0.866 0.500 0.731
Rh 0.403 0.000 0.806
Pd 0.590 0.500 0.180
```

Summary:
electronic total energy: -28.18 eV per formula unit
space-group type: Amm2
ΔE_f: -3.75 eV per formula unit
energy above the most stable polymorph in this dataset: 0 meV per atom
magnetization: 0.00 Bohr magnetons per cell



What is the electronic total energy in the second record? -74.11 eV per formula unit



Which of these has the lowest ΔE_f? Th3PdRh5